(1)
A plane-wave DFT calculation with PBE-GGA was carried out for an optimized crystal structure of Nb2CrGe.

## Properties
calculated total energy = -8.157 eV per atom
formation energy = 0.438 eV/atom

The structure in CIF format:
```
data_Nb2CrGe
_chemical_formula_sum 'Nb8 Cr4 Ge4'
_space_group_name_H-M_alt 'I -4 2 d'
_space_group_IT_number 122
_space_group_name_Hall 'I -4 2bw'
_cell_length_a 7.0179
_cell_length_b 7.0179
_cell_length_c 5.5153
_cell_angle_alpha 90.00
_cell_angle_beta 90.00
_cell_angle_gamma 90.00
loop_
_atom_site_label
_atom_site_type_symbol
_atom_site_fract_x
_atom_site_fract_y
_atom_site_fract_z
_atom_site_occupancy
Nb1 Nb 0.2273 0.2500 0.1250 1
Cr1 Cr 0.0000 0.0000 0.0000 1
Ge1 Ge 0.0000 0.0000 0.5000 1
```

=====

(2)
A plane-wave DFT calculation with PBE-GGA was carried out for an optimized crystal structure of NbCr4Ge.

## Properties
calculated total energy = -8.849 eV per atom
formation energy = 0.014 eV/atom

The structure in CIF format:
```
data_NbCr4Ge
_chemical_formula_sum 'Nb4 Cr16 Ge4'
_space_group_name_H-M_alt 'F -4 3 m'
_space_group_IT_number 216
_space_group_name_Hall 'F -4 2 3'
_cell_length_a 6.8271
_cell_length_b 6.8271
_cell_length_c 6.8271
_cell_angle_alpha 90.00
_cell_angle_beta 90.00
_cell_angle_gamma 90.00
loop_
_atom_site_label
_atom_site_type_symbol
_atom_site_fract_x
_atom_site_fract_y
_atom_site_fract_z
_atom_site_occupancy
Nb1 Nb 0.0000 0.0000 0.0000 1
Cr1 Cr 0.1244 0.1244 0.3756 1
Ge1 Ge 0.2500 0.2500 0.7500 1
```

=====

(3)
A plane-wave DFT calculation with PBE-GGA was carried out for an optimized crystal structure of Nb2CrGe2.

## Properties
calculated total energy = -8.012 eV per atom
formation energy = -0.213 eV/atom

The structure in CIF format:
```
data_Nb2CrGe2
_chemical_formula_sum 'Nb4 Cr2 Ge4'
_space_group_name_H-M_alt 'P 4/m b m'
_space_group_IT_number 127
_space_group_name_Hall '-P 4 2ab'
_cell_length_a 6.5243
_cell_length_b 6.5243
_cell_length_c 3.7265
_cell_angle_alpha 90.00
_cell_angle_beta 90.00
_cell_angle_gamma 90.00
loop_
_atom_site_label
_atom_site_type_symbol
_atom_site_fract_x
_atom_site_fract_y
_atom_site_fract_z
_atom_site_occupancy
Nb1 Nb 0.1663 0.3337 0.0000 1
Cr1 Cr 0.0000 0.0000 0.5000 1
Ge1 Ge 0.1395 0.6395 0.5000 1
```

=====

(4)
A plane-wave DFT calculation with PBE-GGA was carried out for an optimized crystal structure of Nb3CrGe.

## Properties
calculated total energy = -8.117 eV per atom
formation energy = 0.773 eV/atom

The structure in CIF format:
```
data_Nb3CrGe
_chemical_formula_sum 'Nb3 Cr1 Ge1'
_space_group_name_H-M_alt 'P m -3 m'
_space_group_IT_number 221
_space_group_name_Hall '-P 4 2 3'
_cell_length_a 4.5984
_cell_length_b 4.5984
_cell_length_c 4.5984
_cell_angle_alpha 90.00
_cell_angle_beta 90.00
_cell_angle_gamma 90.00
loop_
_atom_site_label
_atom_site_type_symbol
_atom_site_fract_x
_atom_site_fract_y
_atom_site_fract_z
_atom_site_occupancy
Nb1 Nb 0.0000 0.0000 0.5000 1
Cr1 Cr 0.0000 0.0000 0.0000 1
Ge1 Ge 0.5000 0.5000 0.5000 1
```

=====

(5)
A plane-wave DFT calculation with PBE-GGA was carried out for an optimized crystal structure of NbCr2Ge2.

## Properties
calculated total energy = -7.699 eV per atom
formation energy = 0.011 eV/atom

The structure in CIF format:
```
data_NbCr2Ge2
_chemical_formula_sum 'Nb2 Cr4 Ge4'
_space_group_name_H-M_alt 'P 4/m b m'
_space_group_IT_number 127
_space_group_name_Hall '-P 4 2ab'
_cell_length_a 7.0413
_cell_length_b 7.0413
_cell_length_c 2.8976
_cell_angle_alpha 90.00
_cell_angle_beta 90.00
_cell_angle_gamma 90.00
loop_
_atom_site_label
_atom_site_type_symbol
_atom_site_fract_x
_atom_site_fract_y
_atom_site_fract_z
_atom_site_occupancy
Nb1 Nb 0.0000 0.0000 0.0000 1
Cr1 Cr 0.1403 0.3597 0.5000 1
Ge1 Ge 0.1511 0.6511 0.0000 1
```

=====

(6)
A plane-wave DFT calculation with PBE-GGA was carried out for an optimized crystal structure of Nb3CrGe.

## Properties
calculated total energy = -7.804 eV per atom
formation energy = 1.086 eV/atom

The structure in CIF format:
```
data_Nb3CrGe
_chemical_formula_sum 'Nb3 Cr1 Ge1'
_space_group_name_H-M_alt 'P m -3 m'
_space_group_IT_number 221
_space_group_name_Hall '-P 4 2 3'
_cell_length_a 4.7637
_cell_length_b 4.7637
_cell_length_c 4.7637
_cell_angle_alpha 90.00
_cell_angle_beta 90.00
_cell_angle_gamma 90.00
loop_
_atom_site_label
_atom_site_type_symbol
_atom_site_fract_x
_atom_site_fract_y
_atom_site_fract_z
_atom_site_occupancy
Nb1 Nb 0.0000 0.0000 0.5000 1
Cr1 Cr 0.5000 0.5000 0.5000 1
Ge1 Ge 0.0000 0.0000 0.0000 1
```